{
  "formula": "Nb2Ni5Pt2",
  "functional": "PBE",
  "state": "optimized geometry",
  "lattice": [[-4.6408, -1.3795, -2.2604], [4.2712, -4.1239, 3.1180], [-3.4121, 4.9228, 2.1701]],
  "species": ["Nb", "Nb", "Pt", "Pt", "Ni", "Ni", "Ni", "Ni", "Ni"],
  "fractional_positions": [[0.3085, 0.4894, 0.6832], [0.6915, 0.5106, 0.3168], [0.8181, 0.1402, 0.8041], [0.1819, 0.8598, 0.1959], [0.6556, 0.8326, 0.2324], [0.7927, 0.4061, 0.6139], [0.2073, 0.5939, 0.3861], [0.0000, 0.0000, 0.0000], [0.3444, 0.1674, 0.7676]],
  "dos_at_fermi_per_ev_fu": 8.5,
  "polymorph_energy_mev_per_atom": 47,
  "delta_e_f_ev_per_atom": -0.21
}

{
  "formula": "Nb2NiPt",
  "functional": "PBE",
  "state": "optimized geometry",
  "lattice": [[4.0395, 0.0000, 0.0000], [0.0000, 3.9283, 0.0000], [0.0000, 0.0000, 3.9283]],
  "species": ["Ni", "Pt", "Nb", "Nb"],
  "fractional_positions": [[0.5000, 0.5000, 0.5000], [0.5000, 0.0000, 0.0000], [0.0000, 0.5000, 0.0000], [0.0000, 0.0000, 0.5000]],
  "dos_at_fermi_per_ev_fu": 3.8,
  "delta_e_f_ev_per_atom": -0.41
}

Number 1: E_tot -0.2572 Ha/atom. Number 2: E_tot -0.3087 Ha/atom.